# PBE KAlFe3, optimized geometry
data_KAlFe3
_cell_length_a 4.4769
_cell_length_b 4.4769
_cell_length_c 4.4769
_cell_angle_alpha 90.00
_cell_angle_beta 90.00
_cell_angle_gamma 90.00
_symmetry_space_group_name_H-M 'P m -3 m'
_symmetry_Int_Tables_number 221
_symmetry_space_group_name_Hall '-P 4 2 3'
loop_
_atom_site_label
_atom_site_type_symbol
_atom_site_fract_x
_atom_site_fract_y
_atom_site_fract_z
_atom_site_occupancy
K1 K 0.0000 0.0000 0.0000 1
Al1 Al 0.5000 0.5000 0.5000 1
Fe1 Fe 0.0000 0.0000 0.5000 1
# volume	17.9	Å³ per atom
# energy relative to the elements	11.5	eV per formula unit
# crystal system	cubic
# offset from the most stable computed form	1.143	eV per atom

=====

# PBE KAlFe2, optimized geometry
data_KAlFe2
_cell_length_a 2.7810
_cell_length_b 5.3900
_cell_length_c 10.3000
_cell_angle_alpha 90.00
_cell_angle_beta 90.00
_cell_angle_gamma 90.00
_symmetry_space_group_name_H-M 'I m m 2'
_symmetry_Int_Tables_number 44
loop_
_symmetry_equiv_pos_as_xyz
'x,y,z'
'-x,-y,z'
'-x,y,z'
'x,-y,z'
'x+1/2,y+1/2,z+1/2'
'-x+1/2,-y+1/2,z+1/2'
'-x+1/2,y+1/2,z+1/2'
'x+1/2,-y+1/2,z+1/2'
loop_
_atom_site_label
_atom_site_type_symbol
_atom_site_fract_x
_atom_site_fract_y
_atom_site_fract_z
_atom_site_occupancy
K1 K 0.0000 0.0000 0.0000 1
Al1 Al 0.0000 0.5000 0.8055 1
Fe1 Fe 0.0000 0.0000 0.5228 1
Fe2 Fe 0.0000 0.5000 0.2026 1
# volume	19.3	Å³ per atom
# energy relative to the elements	2.9	eV per formula unit
# crystal system	orthorhombic

=====

# PBE KAl2Fe, optimized geometry
data_KAl2Fe
_cell_length_a 2.9088
_cell_length_b 2.9088
_cell_length_c 9.2657
_cell_angle_alpha 90.00
_cell_angle_beta 90.00
_cell_angle_gamma 90.00
_symmetry_space_group_name_H-M 'P 4 m m'
_symmetry_Int_Tables_number 99
loop_
_symmetry_equiv_pos_as_xyz
'x,y,z'
'-y,x,z'
'-x,-y,z'
'y,-x,z'
'-x,y,z'
'y,x,z'
'x,-y,z'
'-y,-x,z'
loop_
_atom_site_label
_atom_site_type_symbol
_atom_site_fract_x
_atom_site_fract_y
_atom_site_fract_z
_atom_site_occupancy
K1 K 0.0000 0.0000 0.0000 1
Al1 Al 0.0000 0.0000 0.5275 1
Al2 Al 0.5000 0.5000 0.3122 1
Fe1 Fe 0.5000 0.5000 0.6930 1
# volume	19.6	Å³ per atom
# energy relative to the elements	1.6	eV per formula unit
# crystal system	tetragonal
# offset from the most stable computed form	0.255	eV per atom

=====

# PBE KAl2Fe, optimized geometry
data_KAl2Fe
_cell_length_a 2.7550
_cell_length_b 4.0991
_cell_length_c 7.9178
_cell_angle_alpha 90.00
_cell_angle_beta 90.00
_cell_angle_gamma 90.00
_symmetry_space_group_name_H-M 'P m m 2'
_symmetry_Int_Tables_number 25
loop_
_symmetry_equiv_pos_as_xyz
'x,y,z'
'-x,-y,z'
'-x,y,z'
'x,-y,z'
loop_
_atom_site_label
_atom_site_type_symbol
_atom_site_fract_x
_atom_site_fract_y
_atom_site_fract_z
_atom_site_occupancy
K1 K 0.0000 0.0000 0.0000 1
Al1 Al 0.5000 0.0000 0.3976 1
Al2 Al 0.5000 0.5000 0.6520 1
Fe1 Fe 0.0000 0.5000 0.3965 1
# volume	22.4	Å³ per atom
# energy relative to the elements	0.9	eV per formula unit
# crystal system	orthorhombic
# offset from the most stable computed form	0.081	eV per atom